Record 1
A plane-wave DFT calculation with PBE-GGA was carried out for crystalline TbDy2MgRh4 at its relaxed geometry.

Cell lengths 8.245, 8.245, 8.245 Å; angles 33.46, 33.46, 33.46 degrees
Element x y z (fractional)
1 Tb 0.000 0.000 0.000
2 Dy 0.244 0.244 0.244
3 Dy 0.756 0.756 0.756
4 Mg 0.500 0.500 0.500
5 Rh 0.125 0.125 0.125
6 Rh 0.377 0.377 0.377
7 Rh 0.623 0.623 0.623
8 Rh 0.875 0.875 0.875

The total magnetization comes out at 0.00 μB per formula unit. Its symmetry is No. 166. For the density of states at the Fermi level, the calculation gives 0.283 states/eV/atom. The calculation puts the formation energy from the elements at -77.2 kJ/mol of atoms.



Record 2
A plane-wave DFT calculation with PBE-GGA was carried out for crystalline Li4Sn2Pb at its relaxed geometry.

Cell lengths 7.338, 5.708, 8.258 Å; angles 90.00, 113.45, 90.00 degrees
Element x y z (fractional)
1 Li 0.046 0.250 0.109
2 Li 0.287 0.501 0.435
3 Li 0.287 0.999 0.435
4 Li 0.396 0.750 0.093
5 Li 0.604 0.250 0.907
6 Li 0.713 0.001 0.565
7 Li 0.713 0.499 0.565
8 Li 0.954 0.750 0.891
9 Sn 0.079 0.750 0.614
10 Sn 0.476 0.250 0.234
11 Sn 0.524 0.750 0.766
12 Sn 0.921 0.250 0.386
13 Pb 0.172 0.250 0.824
14 Pb 0.828 0.750 0.176

Its energy relative to the lowest polymorph listed for this composition is 39 kJ/mol of formula units. The total magnetization comes out at 0.00 μB per formula unit. Its symmetry is No. 11. For the density of states at the Fermi level, the calculation gives 0.357 states/eV/atom. The calculation puts the formation energy from the elements at -18.7 kJ/mol of atoms.



Record 3
A plane-wave DFT calculation with PBE-GGA was carried out for crystalline Dy5RhPb4 at its relaxed geometry.

Cell lengths 7.527, 7.527, 7.527 Å; angles 99.90, 99.90, 131.01 degrees
Element x y z (fractional)
1 Dy 0.000 0.000 0.000
2 Dy 0.156 0.313 0.641
3 Dy 0.313 0.671 0.157
4 Dy 0.515 0.156 0.843
5 Dy 0.671 0.515 0.359
6 Rh 0.482 0.482 0.000
7 Pb 0.228 0.988 0.392
8 Pb 0.595 0.836 0.608
9 Pb 0.836 0.228 0.240
10 Pb 0.988 0.595 0.760

The total magnetization comes out at 0.00 μB per formula unit. Its symmetry is No. 79. For the density of states at the Fermi level, the calculation gives 0.601 states/eV/atom. The calculation puts the formation energy from the elements at -37.0 kJ/mol of atoms.



Record 4
A plane-wave DFT calculation with PBE-GGA was carried out for crystalline MgSnRh at its relaxed geometry.

Cell lengths 7.770, 7.770, 7.770 Å; angles 33.00, 33.00, 33.00 degrees
Element x y z (fractional)
1 Mg 0.125 0.125 0.125
2 Mg 0.875 0.875 0.875
3 Sn 0.378 0.378 0.378
4 Sn 0.622 0.622 0.622
5 Rh 0.000 0.000 0.000
6 Rh 0.500 0.500 0.500

The total magnetization comes out at 0.00 μB per formula unit. Its symmetry is No. 166. For the density of states at the Fermi level, the calculation gives 0.509 states/eV/atom. The calculation puts the formation energy from the elements at -41.8 kJ/mol of atoms.



Record 5
A plane-wave DFT calculation with PBE-GGA was carried out for crystalline La2Ag at its relaxed geometry.

Cell lengths 13.654, 13.654, 13.654 Å; angles 164.38, 164.38, 22.16 degrees
Element x y z (fractional)
1 La 0.303 0.553 0.750
2 La 0.447 0.697 0.750
3 La 0.553 0.303 0.250
4 La 0.697 0.447 0.250
5 Ag 0.125 0.875 0.250
6 Ag 0.875 0.125 0.750

The total magnetization comes out at 0.00 μB per formula unit. Its symmetry is No. 141. For the density of states at the Fermi level, the calculation gives 1.257 states/eV/atom. The calculation puts the formation energy from the elements at -4.8 kJ/mol of atoms.



Record 6
A plane-wave DFT calculation with PBE-GGA was carried out for crystalline GaReBi3 at its relaxed geometry.

Cell lengths 5.368, 5.368, 5.368 Å; angles 90.00, 90.00, 90.00 degrees
Element x y z (fractional)
1 Ga 0.000 0.000 0.000
2 Re 0.500 0.500 0.500
3 Bi 0.000 0.000 0.500
4 Bi 0.000 0.500 0.000
5 Bi 0.500 0.000 0.000

Its energy relative to the lowest polymorph listed for this composition is 371 kJ/mol of formula units. The total magnetization comes out at 3.35 μB per formula unit. Its symmetry is No. 221. For the density of states at the Fermi level, the calculation gives 0.906 states/eV/atom. The calculation puts the formation energy from the elements at 150.2 kJ/mol of atoms.



Record 7
A plane-wave DFT calculation with PBE-GGA was carried out for crystalline ZrAgSn2 at its relaxed geometry.

Cell lengths 5.042, 5.042, 5.042 Å; angles 60.00, 60.00, 60.00 degrees
Element x y z (fractional)
1 Zr 0.000 0.000 0.000
2 Ag 0.500 0.500 0.500
3 Sn 0.250 0.250 0.250
4 Sn 0.750 0.750 0.750

Its energy relative to the lowest polymorph listed for this composition is 103 kJ/mol of formula units. The total magnetization comes out at 0.55 μB per formula unit. Its symmetry is No. 225. For the density of states at the Fermi level, the calculation gives 1.334 states/eV/atom. The calculation puts the formation energy from the elements at 3.6 kJ/mol of atoms.



Record 8
A plane-wave DFT calculation with PBE-GGA was carried out for crystalline SrB2SbCl at its relaxed geometry.

Cell lengths 5.349, 5.349, 5.250 Å; angles 90.00, 90.00, 90.00 degrees
Element x y z (fractional)
1 Sr 0.000 0.000 0.000
2 B 0.000 0.500 0.000
3 B 0.500 0.000 0.000
4 Sb 0.500 0.500 0.500
5 Cl 0.000 0.000 0.500

The total magnetization comes out at 1.39 μB per formula unit. For the uncorrected formation energy, the calculation gives 1.589 eV/atom. Its symmetry is No. 123. For the density of states at the Fermi level, the calculation gives 1.006 states/eV/atom.